Here is crystalline Nb3MoSe at its relaxed geometry from Alexandria via LeMat-Bulk. Energies are from GGA-PBE.

Cell lengths 4.688, 4.688, 4.688 Å; angles 90.00, 90.00, 90.00 degrees
Space group Pm-3m (No. 221)
Unique sites:
1 Nb 0.000 0.000 0.500
2 Mo 0.500 0.500 0.500
3 Se 0.000 0.000 0.000

## Properties
- total energy (hartree per atom) = -0.293
- theoretical density (g/cm³) = 7.31
- density of states at the Fermi level (states/eV/cell) = 6.4
- relative energy among the computed polymorphs (eV per atom) = 0.000